## a
## Tc4Hg3 (GGA-PBE)

Data for Tc4Hg3 after structural relaxation.

Results
- SG: No. 191
- Theoretical density: 13.277 g cm⁻³
- M_tot: 0.002 μB/atom

Cell: 5.308 5.308 5.094 Å, 90.00 90.00 120.00°
Fractional coordinates of all 7 atoms:
1 Tc 0.667 0.333 0.500
2 Tc 0.000 0.000 0.715
3 Tc 0.000 0.000 0.285
4 Tc 0.333 0.667 0.500
5 Hg 0.500 0.500 0.000
6 Hg 0.500 0.000 0.000
7 Hg 0.000 0.500 0.000

## b
## Tc4Hg3 (GGA-PBE)

Data for Tc4Hg3 after structural relaxation.

Results
- SG: No. 139
- Theoretical density: 13.183 g cm⁻³
- M_tot: 0.000 μB/atom

Cell: 14.406 14.406 14.406 Å, 168.19 168.19 16.73°
Fractional coordinates of all 7 atoms:
1 Hg 0.704 0.704 0.000
2 Hg 0.296 0.296 0.000
3 Hg 0.000 0.000 0.000
4 Tc 0.127 0.127 0.000
5 Tc 0.577 0.577 0.000
6 Tc 0.873 0.873 0.000
7 Tc 0.423 0.423 0.000

Of all the structures shown, which is most stable? b, and a is the least stable.